Crystalline YIrBr at its relaxed geometry. Source: Alexandria via LeMat-Bulk, functional PBE.

```
YIrBr
1.0
-3.437 1.648 -2.921
-3.488 -2.940 -1.502
-4.480 0.555 1.638
Ir Y Br
1 1 1
direct
0.500 0.500 0.500 Ir
0.750 0.750 0.750 Y
0.000 0.000 0.000 Br
```

## Properties
E_form (uncorrected) = -104.5 meV per atom
D(E_F) = 2.2 states/eV/f.u.
space group = F-43m (216)

---

Crystalline InSiOs2 at its relaxed geometry. Source: Alexandria via LeMat-Bulk, functional PBE.

```
InSiOs2
1.0
2.830 0.000 0.000
0.000 3.772 0.000
0.000 0.000 6.054
In Os Si
1 2 1
direct
0.500 0.500 0.766 In
0.500 0.500 0.290 Os
0.000 0.000 0.022 Os
0.000 0.000 0.421 Si
```

## Properties
E_form (uncorrected) = 300.0 meV per atom
D(E_F) = 3.3 states/eV/f.u.
space group = Pmm2 (25)

---

Crystalline Li8Ge6Ir at its relaxed geometry. Source: Alexandria via LeMat-Bulk, functional PBE.

```
Li8Ge6Ir
1.0
7.160 0.000 0.000
3.580 6.201 0.000
3.580 2.067 5.483
Ir Ge Li
1 6 8
direct
0.000 0.000 0.000 Ir
0.573 0.013 0.130 Ge
0.427 0.987 0.870 Ge
0.013 0.284 0.130 Ge
0.716 0.427 0.870 Ge
0.987 0.716 0.870 Ge
0.284 0.573 0.130 Ge
0.836 0.647 0.381 Li
0.403 0.403 0.791 Li
0.597 0.597 0.209 Li
0.136 0.836 0.381 Li
0.864 0.164 0.619 Li
0.353 0.864 0.619 Li
0.647 0.136 0.381 Li
0.164 0.353 0.619 Li
```

## Properties
energy of formation from the pure elements = -3.6 eV per formula unit
D(E_F) = 3.3 states/eV/f.u.
space group = R-3 (148)

---

Crystalline Dy6Zn5Rh at its relaxed geometry. Source: Alexandria via LeMat-Bulk, functional PBE.

```
Dy6Zn5Rh
1.0
4.757 -0.028 1.585
0.038 7.068 0.013
0.005 -0.014 7.913
Zn Dy Rh
5 6 1
direct
0.000 0.500 0.000 Zn
0.326 0.000 0.349 Zn
0.669 0.500 0.662 Zn
0.331 0.500 0.338 Zn
0.674 0.000 0.651 Zn
0.162 0.247 0.676 Dy
0.838 0.247 0.324 Dy
0.162 0.753 0.676 Dy
0.500 0.758 0.000 Dy
0.500 0.242 0.000 Dy
0.838 0.753 0.324 Dy
0.000 0.000 0.000 Rh
```

## Properties
energy of formation from the pure elements = -5.4 eV per formula unit
D(E_F) = 7.6 states/eV/f.u.
space group = Cmmm (65)

---

Crystalline Nd3Hg4Pd4 at its relaxed geometry. Source: Alexandria via LeMat-Bulk, functional PBE.

```
Nd3Hg4Pd4
1.0
-1.276 -3.837 0.906
-1.371 -1.383 -7.788
8.487 0.038 2.636
Hg Pd Nd
4 4 3
direct
0.334 0.139 0.668 Hg
0.334 0.529 0.668 Hg
0.666 0.471 0.332 Hg
0.666 0.861 0.332 Hg
0.769 0.269 0.539 Pd
0.500 0.820 0.000 Pd
0.231 0.731 0.461 Pd
0.500 0.180 0.000 Pd
0.876 0.876 0.752 Nd
0.124 0.124 0.248 Nd
0.000 0.500 0.000 Nd
```

## Properties
energy of formation from the pure elements = -6.2 eV per formula unit
D(E_F) = 6.6 states/eV/f.u.
space group = Immm (71)

---

Crystalline AgMo3P at its relaxed geometry. Source: Alexandria via LeMat-Bulk, functional PBE.

```
AgMo3P
1.0
4.470 0.000 0.000
0.000 4.470 0.000
0.000 0.000 4.470
Mo Ag P
3 1 1
direct
0.000 0.000 0.500 Mo
0.500 0.000 0.000 Mo
0.000 0.500 0.000 Mo
0.500 0.500 0.500 Ag
0.000 0.000 0.000 P
```

## Properties
energy of formation from the pure elements = 3.6 eV per formula unit
D(E_F) = 8.0 states/eV/f.u.
space group = Pm-3m (221)

---

Number 1: total magnetization 1.015 μB per cell. Number 2: total magnetization 0.000 μB per cell. Number 3: total magnetization 0.000 μB per cell. Number 4: total magnetization 0.000 μB per cell. Number 5: total magnetization 0.000 μB per cell. Number 6: total magnetization 0.000 μB per cell.